A relaxed structure of Zr4Te5, computed with PBE-GGA.

Lattice parameters (Å, degrees): 8.3979 8.3979 7.5542 90.00 90.00 120.00
Last column: nearest neighbours and their distance in Å.
Positions (direct):
Zr: 0.0000 0.0000 0.0000  6 Te 2.90
Zr: 0.0000 0.0000 0.5000  6 Te 2.90
Zr: 0.0000 0.3959 0.2500  7 Te 2.88-3.20
Zr: 0.0000 0.6041 0.7500  7 Te 2.88-3.20
Zr: 0.3959 0.0000 0.2500  7 Te 2.88-3.20
Zr: 0.3959 0.3959 0.7500  7 Te 2.88-3.20
Zr: 0.6041 0.0000 0.7500  7 Te 2.88-3.20
Zr: 0.6041 0.6041 0.2500  7 Te 2.88-3.20
Te: 0.0000 0.2614 0.7500  5 Zr 2.88-2.93
Te: 0.0000 0.7386 0.2500  5 Zr 2.88-2.93
Te: 0.2614 0.0000 0.7500  5 Zr 2.88-2.93
Te: 0.2614 0.2614 0.2500  5 Zr 2.88-2.93
Te: 0.3333 0.6667 0.0000  6 Zr 3.20
Te: 0.3333 0.6667 0.5000  6 Zr 3.20
Te: 0.6667 0.3333 0.0000  6 Zr 3.20
Te: 0.6667 0.3333 0.5000  6 Zr 3.20
Te: 0.7386 0.0000 0.2500  5 Zr 2.88-2.93
Te: 0.7386 0.7386 0.7500  5 Zr 2.88-2.93

Calculated values
E_form (uncorrected) (eV per atom): -0.5439
Final energy (eV/atom): -6.0885
Space-group type: No. 193